DFT (meta-GGA SCAN) results for a crystal of AlTlTc relaxed with PBEsol.

Unit cell a=5.3328 b=5.3328 c=5.3328 alpha=144.24 beta=144.24 gamma=51.47
Fractional coordinates of all 3 atoms:
Al  0.0000  0.0000  0.0000
Tl  0.7023  0.7023  0.0000
Tc  0.3898  0.3898  0.0000

Properties
- total moment (μB/f.u.) = 0.70
- ΔH_f (0 K) (eV/atom) = 0.208